Entry 1:
TcNi2Pd PBE optimized geometry; SG = R3m (160); energy relative to the elements = 0.04 eV per atom
1.0
1.3462 0.7772 8.3647
-1.3462 0.7772 8.3647
0.0000 -1.5544 8.3647
Tc Ni Pd
1 2 1
Cartesian
0.0000 0.0000 0.0000
0.0000 0.0000 14.7258
0.0000 0.0000 18.7342
0.0000 0.0000 4.1780

Entry 2:
Cs2NbSe PBE optimized geometry; formation energy without anion corrections = 0.738 eV/atom; SG = Fm-3m (225)
1.0
0.0000 4.3358 4.3358
4.3358 0.0000 4.3358
4.3358 4.3358 0.0000
Cs Nb Se
2 1 1
Cartesian
2.1679 2.1679 2.1679
6.5037 6.5037 6.5037
0.0000 0.0000 0.0000
4.3358 4.3358 4.3358

Entry 3:
Ag2PbBr4 PBE optimized geometry; formation energy without anion corrections = -0.536 eV/atom; SG = P-42m (111)
1.0
6.2494 0.0000 0.0000
0.0000 6.2494 0.0000
0.0000 0.0000 6.6276
Ag Pb Br
2 1 4
Cartesian
0.0000 3.1247 0.0000
3.1247 0.0000 0.0000
0.0000 0.0000 3.3138
1.6803 1.6803 5.0328
1.6803 4.5691 1.5948
4.5691 1.6803 1.5948
4.5691 4.5691 5.0328

Entry 4:
Ac2CoSn2 PBE optimized geometry; SG = I4_1/amd (141); energy relative to the elements = -0.35 eV per atom
1.0
-2.4329 2.4329 12.4572
2.4329 -2.4329 12.4572
2.4329 2.4329 -12.4572
Ac Co Sn
4 2 4
Cartesian
2.4329 1.2164 -4.6703
0.0000 1.2164 1.5583
2.4329 1.2164 10.8989
0.0000 1.2164 17.1275
2.4329 1.2164 3.1143
0.0000 1.2164 9.3429
2.4329 1.2164 -1.2488
0.0000 1.2164 4.9798
2.4329 1.2164 7.4774
0.0000 1.2164 13.7060

Entry 5:
NaPm2Nd PBE optimized geometry; SG = P4/mmm (123); energy relative to the elements = 0.11 eV per atom
1.0
3.5907 0.0000 0.0000
0.0000 3.5907 0.0000
0.0000 0.0000 10.9079
Na Pm Nd
1 2 1
Cartesian
0.0000 0.0000 0.0000
1.7953 1.7953 2.8906
1.7953 1.7953 8.0173
0.0000 0.0000 5.4540

Entry 6:
Hg5Bi4Pb4 PBE optimized geometry; SG = C2/m (12); energy relative to the elements = 0.07 eV per atom
1.0
10.4180 -1.7382 0.0000
10.4180 1.7382 0.0000
-10.0967 0.0000 10.9161
Hg Bi Pb
5 4 4
Cartesian
0.0000 0.0000 0.0000
-0.6075 0.0000 6.6303
6.7415 0.0000 0.6204
3.9977 0.0000 10.2957
11.3467 0.0000 4.2858
-4.9717 0.0000 7.9005
3.5101 0.0000 5.5336
7.2291 0.0000 5.3824
15.7109 0.0000 3.0156
-1.5328 0.0000 2.9718
2.6201 0.0000 1.9311
8.1191 0.0000 8.9850
12.2720 0.0000 7.9443

Entry 7:
TbDyHgTe PBE optimized geometry; formation energy without anion corrections = -0.866 eV/atom; SG = R3m (160)
1.0
2.0779 1.1997 7.7752
-2.0779 1.1997 7.7752
0.0000 -2.3993 7.7752
Tb Dy Hg Te
1 1 1 1
Cartesian
0.0000 0.0000 0.0000
0.0000 0.0000 11.6360
0.0000 0.0000 17.4901
0.0000 0.0000 5.8081

Entry 8:
ThTl PBE optimized geometry; SG = Fm-3m (225); energy relative to the elements = 0.13 eV per atom
1.0
0.0000 3.2191 3.2191
3.2191 0.0000 3.2191
3.2191 3.2191 0.0000
Th Tl
1 1
Cartesian
0.0000 0.0000 0.0000
3.2191 3.2191 3.2191

Entry 9:
ErWN2 PBE optimized geometry; formation energy without anion corrections = -0.245 eV/atom; SG = P4/mmm (123)
1.0
2.7751 0.0000 0.0000
0.0000 2.7751 0.0000
0.0000 0.0000 5.7279
Er W N
1 1 2
Cartesian
0.0000 0.0000 0.0000
0.0000 0.0000 2.8640
1.3876 1.3876 1.6113
1.3876 1.3876 4.1166

Entry 10:
ErTm2Rh PBE optimized geometry; SG = R3m (160); energy relative to the elements = -0.35 eV per atom
1.0
1.8795 1.0851 8.9953
-1.8795 1.0851 8.9953
0.0000 -2.1703 8.9953
Er Tm Rh
1 2 1
Cartesian
0.0000 0.0000 0.0000
0.0000 0.0000 6.1769
0.0000 0.0000 11.9039
0.0000 0.0000 22.5373

Entry 11:
CaCd3Au PBE optimized geometry; SG = Pm-3m (221); energy relative to the elements = -0.08 eV per atom
1.0
5.2714 0.0000 0.0000
0.0000 5.2714 0.0000
0.0000 0.0000 5.2714
Ca Cd Au
1 3 1
Cartesian
0.0000 0.0000 0.0000
0.0000 2.6357 2.6357
2.6357 0.0000 2.6357
2.6357 2.6357 0.0000
2.6357 2.6357 2.6357

Entry 12:
LaZrOs PBE optimized geometry; SG = F-43m (216); energy relative to the elements = -0.01 eV per atom
1.0
0.0000 3.3666 3.3666
3.3666 0.0000 3.3666
3.3666 3.3666 0.0000
La Zr Os
1 1 1
Cartesian
0.0000 0.0000 0.0000
3.3666 3.3666 3.3666
5.0499 5.0499 5.0499

no.,size of the total moment (Bohr magnetons per cell)
1,0.0
2,5.0
3,0.0
4,1.9
5,0.0
6,0.0
7,0.0
8,0.0
9,0.0
10,0.4
11,0.0
12,0.0